## 1
{
  "formula": "PrSc2Ti",
  "functional": "GGA-PBE",
  "state": "relaxed",
  "spacegroup": "R-3m",
  "mass_density_g_cm3": 4.60,
  "magnetic_moment_mub_per_fu": 0.0,
  "crystal_system": "trigonal",
  "lattice_angstrom": [[3.215, 0.000, 0.000], [1.607, 2.784, 0.000], [1.607, 0.928, 11.233]],
  "species": ["Sc", "Sc", "Pr", "Ti"],
  "fractional_positions": [[0.903, 0.903, 0.291], [0.097, 0.097, 0.709], [0.000, 0.000, 0.000], [0.500, 0.500, 0.500]]
}

=====

## 2
{
  "formula": "PrSc2Ti",
  "functional": "GGA-PBE",
  "state": "relaxed",
  "spacegroup": "R3m",
  "mass_density_g_cm3": 4.64,
  "magnetic_moment_mub_per_fu": 0.0,
  "crystal_system": "trigonal",
  "lattice_angstrom": [[3.282, 0.000, 0.000], [1.641, 2.843, 0.000], [1.641, 0.948, 10.689]],
  "species": ["Sc", "Sc", "Ti", "Pr"],
  "fractional_positions": [[0.073, 0.073, 0.781], [0.260, 0.260, 0.220], [0.666, 0.666, 0.001], [0.501, 0.501, 0.498]]
}

=====

Top of the stability list: 2, leading by 53 meV/atom.

=====

## 1
{
  "formula": "Pr2ScTl2",
  "functional": "GGA-PBE",
  "state": "relaxed",
  "spacegroup": "C2/m",
  "mass_density_g_cm3": 8.04,
  "magnetic_moment_mub_per_fu": 0.0,
  "crystal_system": "monoclinic",
  "lattice_angstrom": [[4.657, 0.000, 1.097], [2.224, 6.221, 0.992], [-0.010, -0.133, 10.480]],
  "species": ["Pr", "Pr", "Pr", "Pr", "Sc", "Sc", "Tl", "Tl", "Tl", "Tl"],
  "fractional_positions": [[0.514, 0.650, 0.323], [0.684, 0.732, 0.900], [0.486, 0.350, 0.677], [0.316, 0.268, 0.100], [0.211, 0.944, 0.634], [0.789, 0.056, 0.366], [0.031, 0.824, 0.114], [0.141, 0.296, 0.422], [0.859, 0.704, 0.578], [0.969, 0.176, 0.886]]
}

=====

## 2
{
  "formula": "Pr2ScTl2",
  "functional": "GGA-PBE",
  "state": "relaxed",
  "spacegroup": "Immm",
  "mass_density_g_cm3": 7.99,
  "magnetic_moment_mub_per_fu": 1.1,
  "crystal_system": "orthorhombic",
  "lattice_angstrom": [[4.681, 0.000, 0.000], [2.341, 5.886, 0.214], [2.341, 1.783, 5.613]],
  "species": ["Sc", "Pr", "Pr", "Tl", "Tl"],
  "fractional_positions": [[0.000, 0.000, 0.000], [0.199, 0.301, 0.301], [0.801, 0.699, 0.699], [0.500, 0.269, 0.731], [0.500, 0.731, 0.269]]
}

=====

Top of the stability list: 1, leading by 11 meV/atom.